(1)
Material: InNi2Hg
Method: DFT, PBE
State: relaxed

The formation energy comes out at 0.34 eV per atom. The mass density is 10.282 g cm⁻³. As for the total magnetic moment: 0.000 μB per formula unit. As for the density of states at the Fermi level: 7.90 states/eV/cell. The energy above the lowest structure with this stoichiometry comes out at 282 meV/atom. The calculated total energy is -0.2434 Ry/atom.

The structure belongs to space group I-42d (No. 122); the cell edges are 7.031, 7.031 and 5.656 Å and the angles 90.00°, 90.00° and 90.00°. Symmetry generates all atoms from In at (0.000, 0.000, 0.000), Ni at (0.247, 0.750, 0.125) and Hg at (0.000, 0.000, 0.500).

(2)
Material: InNi2Hg2
Method: DFT, PBE
State: relaxed

The formation energy comes out at 0.10 eV per atom. The mass density is 11.908 g cm⁻³. As for the total magnetic moment: 0.000 μB per formula unit. As for the density of states at the Fermi level: 4.30 states/eV/cell. The energy above the lowest structure with this stoichiometry comes out at 0 meV/atom. The calculated total energy is -0.2116 Ry/atom.

The structure belongs to space group P4/mbm (No. 127); the cell edges are 6.772, 6.772 and 3.852 Å and the angles 90.00°, 90.00° and 90.00°. Symmetry generates all atoms from In at (0.000, 0.000, 0.000), Ni at (0.134, 0.366, 0.000) and Hg at (0.162, 0.662, 0.500).

(3)
Material: InNi2Hg
Method: DFT, PBE
State: relaxed

The formation energy comes out at 0.14 eV per atom. The mass density is 10.816 g cm⁻³. As for the total magnetic moment: 0.000 μB per formula unit. As for the density of states at the Fermi level: 4.27 states/eV/cell. The energy above the lowest structure with this stoichiometry comes out at 85 meV/atom. The calculated total energy is -0.2579 Ry/atom.

The structure belongs to space group P4mm (No. 99); the cell edges are 3.099, 3.099 and 6.919 Å and the angles 90.00°, 90.00° and 90.00°. Symmetry generates all atoms from In at (0.000, 0.000, 0.000), Ni at (0.000, 0.000, 0.402), Ni at (0.500, 0.500, 0.221) and Hg at (0.500, 0.500, 0.636).

(4)
Material: InNiHg3
Method: DFT, PBE
State: relaxed

The formation energy comes out at 0.86 eV per atom. The mass density is 7.281 g cm⁻³. As for the total magnetic moment: 1.153 μB per formula unit. As for the density of states at the Fermi level: 12.64 states/eV/cell. The energy above the lowest structure with this stoichiometry comes out at 709 meV/atom. The calculated total energy is -0.0756 Ry/atom.

The structure belongs to space group Pm-3m (No. 221); the cell edges are 5.613, 5.613 and 5.613 Å and the angles 90.00°, 90.00° and 90.00°. Symmetry generates all atoms from In at (0.000, 0.000, 0.000), Ni at (0.500, 0.500, 0.500) and Hg at (0.000, 0.000, 0.500).

(5)
Material: InNi2Hg
Method: DFT, PBE
State: relaxed

The formation energy comes out at 0.25 eV per atom. The mass density is 11.164 g cm⁻³. As for the total magnetic moment: 0.000 μB per formula unit. As for the density of states at the Fermi level: 12.76 states/eV/cell. The energy above the lowest structure with this stoichiometry comes out at 196 meV/atom. The calculated total energy is -0.2497 Ry/atom.

The structure belongs to space group F-43m (No. 216); the cell edges are 6.362, 6.362 and 6.362 Å and the angles 90.00°, 90.00° and 90.00°. Symmetry generates all atoms from In at (0.000, 0.000, 0.000), Ni at (0.000, 0.000, 0.500), Ni at (0.250, 0.250, 0.250) and Hg at (0.250, 0.250, 0.750).

(6)
Material: InNi2Hg
Method: DFT, PBE
State: relaxed

The formation energy comes out at 0.06 eV per atom. The mass density is 11.440 g cm⁻³. As for the total magnetic moment: 0.000 μB per formula unit. As for the density of states at the Fermi level: 1.81 states/eV/cell. The energy above the lowest structure with this stoichiometry comes out at 0 meV/atom. The calculated total energy is -0.2641 Ry/atom.

The structure belongs to space group P4/mmm (No. 123); the cell edges are 3.186, 3.186 and 6.190 Å and the angles 90.00°, 90.00° and 90.00°. Symmetry generates all atoms from In at (0.000, 0.000, 0.000), Ni at (0.500, 0.500, 0.239) and Hg at (0.000, 0.000, 0.500).

(7)
Material: InNiHgPb2
Method: DFT, PBE
State: relaxed

The formation energy comes out at 0.07 eV per atom. The mass density is 9.600 g cm⁻³. As for the total magnetic moment: 0.000 μB per formula unit. As for the density of states at the Fermi level: 2.11 states/eV/cell. The calculated total energy is -0.2337 Ry/atom.

The structure belongs to space group P4/mmm (No. 123); the cell edges are 5.196, 5.196 and 5.052 Å and the angles 90.00°, 90.00° and 90.00°. Symmetry generates all atoms from In at (0.000, 0.000, 0.000), Ni at (0.000, 0.000, 0.500), Hg at (0.500, 0.500, 0.000) and Pb at (0.000, 0.500, 0.500).

(8)
Material: InNiHg2Pb
Method: DFT, PBE
State: relaxed

The formation energy comes out at 0.12 eV per atom. The mass density is 10.200 g cm⁻³. As for the total magnetic moment: 0.000 μB per formula unit. As for the density of states at the Fermi level: 2.59 states/eV/cell. The calculated total energy is -0.1797 Ry/atom.

The structure belongs to space group P4/mmm (No. 123); the cell edges are 5.080, 5.080 and 4.933 Å and the angles 90.00°, 90.00° and 90.00°. Symmetry generates all atoms from In at (0.000, 0.000, 0.000), Ni at (0.000, 0.000, 0.500), Hg at (0.000, 0.500, 0.500) and Pb at (0.500, 0.500, 0.000).

(9)
Material: InNi2HgPd
Method: DFT, PBE
State: relaxed

The formation energy comes out at 0.78 eV per atom. The mass density is 7.892 g cm⁻³. As for the total magnetic moment: 1.869 μB per formula unit. As for the density of states at the Fermi level: 7.28 states/eV/cell. The calculated total energy is -0.2337 Ry/atom.

The structure belongs to space group P4/mmm (No. 123); the cell edges are 4.701, 4.701 and 5.134 Å and the angles 90.00°, 90.00° and 90.00°. Symmetry generates all atoms from In at (0.000, 0.000, 0.000), Ni at (0.000, 0.500, 0.500), Hg at (0.500, 0.500, 0.000) and Pd at (0.500, 0.500, 0.500).

(10)
Material: Pm3In3NiHg2
Method: DFT, PBE
State: relaxed

The formation energy comes out at -0.49 eV per atom. The mass density is 9.244 g cm⁻³. As for the total magnetic moment: 0.000 μB per formula unit. As for the density of states at the Fermi level: 5.54 states/eV/cell. The calculated total energy is -0.2718 Ry/atom.

The structure belongs to space group P-62m (No. 189); the cell edges are 7.7438, 7.7438 and 4.2869 Å and the angles 90.00°, 90.00° and 120.00°. Symmetry generates all atoms from Pm at (0.0000, 0.3918, 0.0000), In at (0.0000, 0.7656, 0.5000), Ni at (0.0000, 0.0000, 0.0000) and Hg at (0.3333, 0.6667, 0.5000).

(11)
Material: Pr3In3NiHg2
Method: DFT, PBE
State: relaxed

The formation energy comes out at -0.48 eV per atom. The mass density is 8.844 g cm⁻³. As for the total magnetic moment: 0.000 μB per formula unit. As for the density of states at the Fermi level: 6.70 states/eV/cell. The calculated total energy is -0.2717 Ry/atom.

The structure belongs to space group P-62m (No. 189); the cell edges are 7.7791, 7.7791 and 4.3961 Å and the angles 90.00°, 90.00° and 120.00°. Symmetry generates all atoms from Pr at (0.0000, 0.6097, 0.0000), In at (0.0000, 0.2317, 0.5000), Ni at (0.0000, 0.0000, 0.0000) and Hg at (0.3333, 0.6667, 0.5000).

(12)
Material: InNiHgRh
Method: DFT, PBE
State: relaxed

The formation energy comes out at -0.02 eV per atom. The mass density is 11.915 g cm⁻³. As for the total magnetic moment: 0.000 μB per formula unit. As for the density of states at the Fermi level: 11.68 states/eV/cell. The calculated total energy is -0.2989 Ry/atom.

The structure belongs to space group F-43m (No. 216); the cell edges are 6.431, 6.431 and 6.431 Å and the angles 90.00°, 90.00° and 90.00°. Symmetry generates all atoms from In at (0.000, 0.000, 0.000), Ni at (0.250, 0.250, 0.250), Hg at (0.000, 0.000, 0.500) and Rh at (0.250, 0.250, 0.750).

(13)
Material: InNi2HgS
Method: DFT, PBE
State: relaxed

The mass density is 6.660 g cm⁻³. As for the total magnetic moment: 0.000 μB per formula unit. As for the density of states at the Fermi level: 5.45 states/eV/cell. The calculated total energy is -0.2040 Ry/atom.

The structure belongs to space group P4/mmm (No. 123); the cell edges are 4.856, 4.856 and 4.914 Å and the angles 90.00°, 90.00° and 90.00°. Symmetry generates all atoms from In at (0.000, 0.000, 0.000), Ni at (0.000, 0.500, 0.000), Hg at (0.500, 0.500, 0.500) and S at (0.000, 0.000, 0.500).

(14)
Material: In2NiHgSb
Method: DFT, PBE
State: relaxed

The mass density is 8.481 g cm⁻³. As for the total magnetic moment: 0.000 μB per formula unit. As for the density of states at the Fermi level: 2.42 states/eV/cell. The calculated total energy is -0.2264 Ry/atom.

The structure belongs to space group P4/mmm (No. 123); the cell edges are 4.937, 4.937 and 4.906 Å and the angles 90.00°, 90.00° and 90.00°. Symmetry generates all atoms from In at (0.000, 0.500, 0.000), Ni at (0.000, 0.000, 0.000), Hg at (0.500, 0.500, 0.500) and Sb at (0.000, 0.000, 0.500).